This record from Alexandria via LeMat-Bulk describes a relaxed Tm4CuTe2P crystal. The functional is GGA-PBE.

abc: 4.0410 7.2502 7.2617
angles: 108.43 90.00 90.00
Fractional coordinates of all 8 atoms:
Tm: 0.0000 0.2616 0.7889
Tm: 0.0000 0.7384 0.2111
Cu: 0.5000 0.5000 0.0000
Tm: 0.5000 0.7673 0.7868
Tm: 0.5000 0.2327 0.2132
P: 0.0000 0.0000 0.0000
Te: 0.5000 0.0000 0.5000
Te: 0.0000 0.5000 0.5000

* V: 25.23 A^3/atom
* electronic total energy: -5.271 eV/atom